Entry 1:
The following is a PBE calculation of a relaxed CaCd2Br crystal, from Alexandria.

```
CaCd2Br
1.0
-1.853 0.948 -6.564
-4.295 -1.884 -5.042
-3.414 2.866 -0.143
Cd Br Ca
2 1 1
Cartesian
-6.130 -0.912 -11.535
-4.797 0.941 -5.946
-7.170 1.447 -8.812
-2.390 0.482 -2.937
```

Output
- Formation energy without anion corrections: -0.60 eV/atom
- Offset from the most stable computed form: 57.0 meV per atom

=====

Entry 2:
The following is a PBE calculation of a relaxed NaCaPrIn crystal, from Alexandria.

```
NaCaPrIn
1.0
-1.369 5.213 -1.469
0.350 1.579 -5.347
-4.652 0.941 -2.945
Pr Ca Na In
1 1 1 1
Cartesian
-4.253 5.799 -7.320
-1.418 1.933 -2.440
0.000 0.000 0.000
-2.836 3.866 -4.880
```

Output
- DFT formation energy: -0.21 eV/atom

=====

Entry 3:
The following is a PBE calculation of a relaxed Ca3HgI8 crystal, from Alexandria.

```
Ca3HgI8
1.0
8.990 0.000 0.000
-4.495 6.372 -4.471
0.000 0.073 9.321
Hg I Ca
1 8 3
Cartesian
0.000 0.000 0.000
-2.292 6.347 -2.291
0.000 3.301 4.883
4.495 3.144 -0.032
2.203 0.098 7.142
2.292 6.347 -2.291
6.787 0.098 7.142
0.000 3.099 -0.014
4.495 3.347 4.864
4.495 0.000 0.000
-2.247 3.186 -2.235
2.247 3.186 -2.235
```

Output
- Formation energy without anion corrections: -1.26 eV/atom

=====

Entry 4:
The following is a PBE calculation of a relaxed RbTeP2Cl crystal, from Alexandria.

```
RbTeP2Cl
1.0
6.857 0.000 0.000
0.000 6.857 0.000
0.000 0.000 5.894
Te Cl P Rb
1 1 2 1
Cartesian
3.428 3.428 2.947
0.000 0.000 2.947
0.000 3.428 0.000
3.428 0.000 0.000
0.000 0.000 0.000
```

Output
- Formation energy without anion corrections: 1.21 eV/atom
- Offset from the most stable computed form: 1069.7 meV per atom

=====

Entry 5:
The following is a PBE calculation of a relaxed Be2SeCl crystal, from Alexandria.

```
Be2SeCl
1.0
4.508 0.000 0.000
2.254 3.904 0.000
2.254 1.301 3.681
Cl Be Se
1 2 1
Cartesian
4.508 2.603 1.840
0.000 0.000 0.000
2.254 1.301 0.920
6.762 3.904 2.760
```

Output
- Formation energy without anion corrections: 0.91 eV/atom
- Offset from the most stable computed form: 1319.4 meV per atom

=====

Entry 6:
The following is a PBE calculation of a relaxed Na5B7C3 crystal, from Alexandria.

```
Na5B7C3
1.0
-6.737 -4.013 4.553
-6.377 -5.939 2.506
12.082 -2.943 4.890
C B Na
6 14 10
Cartesian
-2.804 -6.749 5.857
7.108 -6.623 7.478
9.400 -2.674 4.166
4.836 -3.307 3.960
-10.446 -10.193 7.755
1.801 -6.193 6.142
1.149 -5.239 5.131
-4.240 -4.717 3.693
0.207 -11.095 10.474
-0.487 -2.904 2.647
-4.413 -11.645 10.180
-5.862 -9.557 7.961
-2.084 -7.772 6.945
-1.207 -1.878 1.554
-8.193 -6.241 4.433
3.394 -1.269 1.790
5.532 -4.323 5.038
-0.582 -9.945 9.253
-6.570 -8.550 6.890
3.153 -8.111 8.184
-9.301 -8.263 6.140
-1.027 -12.890 11.946
0.550 -8.033 7.654
-3.199 -9.704 8.567
2.227 -3.156 3.360
6.010 -1.483 2.450
-5.450 -6.551 5.206
-1.630 -4.878 4.303
4.477 -6.312 6.724
8.203 -4.653 5.818
```

Output
- Offset from the most stable computed form: 11.6 meV per atom
- DFT formation energy: 0.12 eV/atom

=====

Entry 7:
The following is a PBE calculation of a relaxed Li2TiCuSn crystal, from Alexandria.

```
Li2TiCuSn
1.0
4.370 0.000 0.000
0.000 4.854 0.000
0.000 0.000 4.370
Cu Li Sn Ti
1 2 1 1
Cartesian
0.000 0.000 0.000
0.000 0.000 2.185
2.185 0.000 0.000
2.185 2.427 2.185
0.000 2.427 0.000
```

Output
- DFT formation energy: 0.16 eV/atom

=====

Entry 8:
The following is a PBE calculation of a relaxed PrMgIn3 crystal, from Alexandria.

```
PrMgIn3
1.0
-3.180 -5.466 0.438
4.089 -1.962 5.210
-5.665 3.450 1.928
In Mg Pr
6 2 2
Cartesian
-3.565 -3.257 2.278
-1.191 -0.721 5.298
-6.033 -1.769 2.935
-4.177 -2.680 5.047
-0.579 -1.298 2.529
1.277 -2.209 4.641
0.000 0.000 0.000
-1.590 -2.733 0.219
-1.175 -4.464 4.570
-3.581 0.486 3.006
```

Output
- Offset from the most stable computed form: 60.2 meV per atom
- DFT formation energy: -0.20 eV/atom